# 1
# CrNi2Os, relaxed, DFT GGA-PBEsol
# Total DFT energy (no corrections): -8.616 eV per atom
# DFT formation energy: 0.08 eV/atom
# Total moment: 0.00 Bohr magnetons per cell
# Calculated density: 12.91 g/cm3
data_CrNi2Os
_chemical_formula_sum 'Cr2 Ni4 Os2'
_cell_length_a 8.3728
_cell_length_b 2.5204
_cell_length_c 4.4390
_cell_angle_alpha 90.00
_cell_angle_beta 99.04
_cell_angle_gamma 90.00
_symmetry_space_group_name_H-M 'C 1 m 1'
_symmetry_Int_Tables_number 8
_symmetry_space_group_name_Hall 'C -2y'
loop_
_atom_site_label
_atom_site_type_symbol
_atom_site_fract_x
_atom_site_fract_y
_atom_site_fract_z
_atom_site_occupancy
Cr1 Cr 0.0000 0.0000 0.0000 1
Ni1 Ni 0.0055 0.5000 0.5164 1
Ni2 Ni 0.2561 0.0000 0.7500 1
Os1 Os 0.2590 0.5000 0.2541 1

***

# 2
# FeTc2Hg, relaxed, DFT GGA-PBEsol
# Total DFT energy (no corrections): -7.655 eV per atom
# DFT formation energy: 0.36 eV/atom
# Total moment: 1.22 Bohr magnetons per cell
# Calculated density: 13.09 g/cm3
data_FeTc2Hg
_chemical_formula_sum 'Fe1 Tc2 Hg1'
_cell_length_a 2.7379
_cell_length_b 2.7379
_cell_length_c 7.6546
_cell_angle_alpha 90.00
_cell_angle_beta 90.00
_cell_angle_gamma 90.00
_symmetry_space_group_name_H-M 'P 4/m m m'
_symmetry_Int_Tables_number 123
_symmetry_space_group_name_Hall '-P 4 2'
loop_
_atom_site_label
_atom_site_type_symbol
_atom_site_fract_x
_atom_site_fract_y
_atom_site_fract_z
_atom_site_occupancy
Fe1 Fe 0.0000 0.0000 0.0000 1
Tc1 Tc 0.5000 0.5000 0.2110 1
Hg1 Hg 0.0000 0.0000 0.5000 1

***

Look up the calculated density of the first one.
12.91 g/cm3

***

Among the records above, which one has the lowest calculated density?
CrNi2Os

***

Among the records above, which one has the lowest total moment?
CrNi2Os

***

Copy entry 2 word for word.
# FeTc2Hg, relaxed, DFT GGA-PBEsol
# Total DFT energy (no corrections): -7.655 eV per atom
# DFT formation energy: 0.36 eV/atom
# Total moment: 1.22 Bohr magnetons per cell
# Calculated density: 13.09 g/cm3
data_FeTc2Hg
_chemical_formula_sum 'Fe1 Tc2 Hg1'
_cell_length_a 2.7379
_cell_length_b 2.7379
_cell_length_c 7.6546
_cell_angle_alpha 90.00
_cell_angle_beta 90.00
_cell_angle_gamma 90.00
_symmetry_space_group_name_H-M 'P 4/m m m'
_symmetry_Int_Tables_number 123
_symmetry_space_group_name_Hall '-P 4 2'
loop_
_atom_site_label
_atom_site_type_symbol
_atom_site_fract_x
_atom_site_fract_y
_atom_site_fract_z
_atom_site_occupancy
Fe1 Fe 0.0000 0.0000 0.0000 1
Tc1 Tc 0.5000 0.5000 0.2110 1
Hg1 Hg 0.0000 0.0000 0.5000 1